A) The following is a DFT calculation (PBE) of a relaxed structure of CaPm5Tl4.

Cell: 3.725 3.725 22.395 Å, 90.00 90.00 90.00°
Space group P4/mmm (No. 123)
Asymmetric unit:
Ca 0.000 0.000 0.000 [1 per cell]
Pm 0.500 0.500 0.126 [2 per cell]
Pm 0.500 0.500 0.312 [2 per cell]
Pm 0.500 0.500 0.500 [1 per cell]
Tl 0.000 0.000 0.217 [2 per cell]
Tl 0.000 0.000 0.406 [2 per cell]

B) The following is a DFT calculation (PBE) of a relaxed structure of CaPm5Tl4.

Cell: 7.630 10.619 8.739 Å, 90.00 90.00 90.00°
Space group Pmmn (No. 59, origin choice 2)
Asymmetric unit:
Ca 0.250 0.250 0.237 [2 per cell]
Pm 0.003 0.052 0.713 [8 per cell]
Pm 0.250 0.750 0.893 [2 per cell]
Tl 0.054 0.750 0.551 [4 per cell]
Tl 0.250 0.032 0.006 [4 per cell]

Relative to the most stable one, in eV/atom, the structures come out at A) 0.000; B) 0.260.

A) The following is a DFT calculation (PBE) of a relaxed structure of Ca2PmTm.

Cell: 5.823 5.823 4.205 Å, 90.00 90.00 90.00°
Space group P4/mmm (No. 123)
Asymmetric unit:
Ca 0.000 0.500 0.000 [2 per cell]
Pm 0.000 0.000 0.500 [1 per cell]
Tm 0.500 0.500 0.500 [1 per cell]

B) The following is a DFT calculation (PBE) of a relaxed structure of Ca2PmTm.

Cell: 8.290 8.290 8.290 Å, 90.00 90.00 90.00°
Space group Fm-3m (No. 225)
Asymmetric unit:
Ca 0.250 0.250 0.250 [8 per cell]
Pm 0.000 0.000 0.000 [4 per cell]
Tm 0.000 0.000 0.500 [4 per cell]

Relative to the most stable one, in eV/atom, the structures come out at A) 0.007; B) 0.000.

A) The following is a DFT calculation (PBE) of a relaxed structure of Ca2PmTm.

Cell: 4.133 4.133 8.358 Å, 90.00 90.00 90.00°
Space group P4/mmm (No. 123)
Asymmetric unit:
Ca 0.000 0.000 0.243 [2 per cell]
Pm 0.500 0.500 0.500 [1 per cell]
Tm 0.500 0.500 0.000 [1 per cell]

B) The following is a DFT calculation (PBE) of a relaxed structure of Ca2PmTm.

Cell: 3.5790 3.5790 39.2848 Å, 90.00 90.00 120.00°
Space group R-3m (No. 166, hexagonal axes)
Asymmetric unit:
Ca 0.0000 0.0000 0.0865 [6 per cell]
Pm 0.0000 0.0000 0.5000 [3 per cell]
Tm 0.0000 0.0000 0.0000 [3 per cell]

Relative to the most stable one, in eV/atom, the structures come out at A) 0.000; B) 0.078.

A) The following is a DFT calculation (PBE) of a relaxed structure of CaPm4Tm.

Cell: 9.538 9.538 9.538 Å, 90.00 90.00 90.00°
Space group F-43m (No. 216)
Asymmetric unit:
Ca 0.000 0.000 0.000 [4 per cell]
Pm 0.123 0.123 0.377 [16 per cell]
Tm 0.250 0.250 0.750 [4 per cell]

B) The following is a DFT calculation (PBE) of a relaxed structure of CaPm4Tm.

Cell: 3.630 20.564 11.118 Å, 90.00 90.00 90.00°
Space group Cmcm (No. 63)
Asymmetric unit:
Ca 0.000 0.095 0.250 [4 per cell]
Pm 0.000 0.082 0.750 [4 per cell]
Pm 0.000 0.326 0.027 [8 per cell]
Pm 0.000 0.500 0.000 [4 per cell]
Tm 0.000 0.252 0.750 [4 per cell]

Relative to the most stable one, in eV/atom, the structures come out at A) 0.172; B) 0.000.

A) The following is a DFT calculation (PBE) of a relaxed structure of Ca2Pm4Tm.

Cell: 3.577 5.895 23.680 Å, 90.00 90.00 90.00°
Space group Immm (No. 71)
Asymmetric unit:
Ca 0.000 0.000 0.221 [4 per cell]
Pm 0.000 0.500 0.129 [4 per cell]
Pm 0.000 0.500 0.420 [4 per cell]
Tm 0.000 0.000 0.500 [2 per cell]

B) The following is a DFT calculation (PBE) of a relaxed structure of Ca2Pm4Tm.

Cell: 5.727 5.727 17.921 Å, 90.00 90.00 90.00°
Space group I4/mmm (No. 139)
Asymmetric unit:
Ca 0.000 0.000 0.128 [4 per cell]
Pm 0.000 0.000 0.329 [4 per cell]
Pm 0.000 0.500 0.000 [4 per cell]
Tm 0.000 0.000 0.500 [2 per cell]

Relative to the most stable one, in eV/atom, the structures come out at A) 0.000; B) 0.462.

A) The following is a DFT calculation (PBE) of a relaxed structure of CaPm6Y4.

Cell: 7.956 7.956 12.969 Å, 90.00 90.00 90.00°
Space group I-42m (No. 121)
Asymmetric unit:
Ca 0.000 0.000 0.000 [2 per cell]
Pm 0.000 0.500 0.000 [4 per cell]
Pm 0.166 0.166 0.426 [8 per cell]
Y 0.240 0.240 0.688 [8 per cell]

B) The following is a DFT calculation (PBE) of a relaxed structure of CaPm6Y4.

Cell: 7.832 7.832 13.286 Å, 90.00 90.00 90.00°
Space group I-42m (No. 121)
Asymmetric unit:
Ca 0.000 0.000 0.000 [2 per cell]
Pm 0.000 0.500 0.000 [4 per cell]
Pm 0.246 0.246 0.189 [8 per cell]
Y 0.161 0.161 0.422 [8 per cell]

Relative to the most stable one, in eV/atom, the structures come out at A) 0.013; B) 0.000.

A) The following is a DFT calculation (PBE) of a relaxed structure of CaPm7Y3.

Cell: 7.2270 7.2270 8.7825 Å, 90.00 90.00 120.00°
Space group P3m1 (No. 156)
Asymmetric unit:
Ca 0.0000 0.0000 0.0000 [1 per cell]
Pm 0.0040 0.5020 0.9933 [3 per cell]
Pm 0.3333 0.6667 0.3203 [1 per cell]
Pm 0.3374 0.1687 0.3367 [3 per cell]
Y 0.1689 0.3378 0.6575 [3 per cell]

B) The following is a DFT calculation (PBE) of a relaxed structure of CaPm7Y3.

Cell: 11.832 10.217 6.556 Å, 90.00 94.96 90.00°
Space group C2/m (No. 12)
Asymmetric unit:
Ca 0.000 0.000 0.000 [2 per cell]
Pm 0.000 0.000 0.500 [2 per cell]
Pm 0.235 0.500 0.708 [4 per cell]
Pm 0.247 0.172 0.755 [8 per cell]
Y 0.000 0.332 0.500 [4 per cell]
Y 0.000 0.500 0.000 [2 per cell]

Relative to the most stable one, in eV/atom, the structures come out at A) 0.000; B) 0.016.

A) The following is a DFT calculation (PBE) of a relaxed structure of Ca2Pm4Y.

Cell: 5.733 5.733 17.950 Å, 90.00 90.00 90.00°
Space group I4/mmm (No. 139)
Asymmetric unit:
Ca 0.000 0.000 0.127 [4 per cell]
Pm 0.000 0.000 0.327 [4 per cell]
Pm 0.000 0.500 0.000 [4 per cell]
Y 0.000 0.000 0.500 [2 per cell]

B) The following is a DFT calculation (PBE) of a relaxed structure of Ca2Pm4Y.

Cell: 3.581 5.909 23.811 Å, 90.00 90.00 90.00°
Space group Immm (No. 71)
Asymmetric unit:
Ca 0.000 0.000 0.221 [4 per cell]
Pm 0.000 0.500 0.130 [4 per cell]
Pm 0.000 0.500 0.419 [4 per cell]
Y 0.000 0.000 0.500 [2 per cell]

Relative to the most stable one, in eV/atom, the structures come out at A) 0.486; B) 0.000.

A) The following is a DFT calculation (PBE) of a relaxed structure of CaPm4Y.

Cell: 9.573 9.573 9.573 Å, 90.00 90.00 90.00°
Space group F-43m (No. 216)
Asymmetric unit:
Ca 0.000 0.000 0.000 [4 per cell]
Pm 0.123 0.123 0.377 [16 per cell]
Y 0.250 0.250 0.750 [4 per cell]

B) The following is a DFT calculation (PBE) of a relaxed structure of CaPm4Y.

Cell: 3.630 5.213 11.059 Å, 90.00 90.00 90.00°
Space group Pmmm (No. 47)
Asymmetric unit:
Ca 0.000 0.000 0.000 [1 per cell]
Pm 0.000 0.000 0.339 [2 per cell]
Pm 0.500 0.500 0.181 [2 per cell]
Y 0.500 0.500 0.500 [1 per cell]

Relative to the most stable one, in eV/atom, the structures come out at A) 0.155; B) 0.000.

A) The following is a DFT calculation (PBE) of a relaxed structure of CaPm2Zn3.

Cell: 5.1778 5.1778 12.6479 Å, 90.00 90.00 120.00°
Space group P-3m1 (No. 164)
Asymmetric unit:
Ca 0.3333 0.6667 0.1674 [2 per cell]
Pm 0.0000 0.0000 0.0000 [1 per cell]
Pm 0.0000 0.0000 0.5000 [1 per cell]
Pm 0.3333 0.6667 0.6708 [2 per cell]
Zn 0.0000 0.0000 0.2504 [2 per cell]
Zn 0.3333 0.6667 0.4186 [2 per cell]
Zn 0.3333 0.6667 0.9171 [2 per cell]

B) The following is a DFT calculation (PBE) of a relaxed structure of CaPm2Zn3.

Cell: 3.658 3.658 11.085 Å, 90.00 90.00 90.00°
Space group P4/mmm (No. 123)
Asymmetric unit:
Ca 0.000 0.000 0.000 [1 per cell]
Pm 0.000 0.000 0.336 [2 per cell]
Zn 0.500 0.500 0.174 [2 per cell]
Zn 0.500 0.500 0.500 [1 per cell]

Relative to the most stable one, in eV/atom, the structures come out at A) 0.000; B) 0.008.

A) The following is a DFT calculation (PBE) of a relaxed structure of Ca3PmZn8.

Cell: 5.6321 5.6321 8.8202 Å, 90.00 90.00 120.00°
Space group P3m1 (No. 156)
Asymmetric unit:
Ca 0.0000 0.0000 0.0000 [1 per cell]
Ca 0.0000 0.0000 0.3852 [1 per cell]
Ca 0.3333 0.6667 0.8842 [1 per cell]
Pm 0.3333 0.6667 0.4986 [1 per cell]
Zn 0.3354 0.1677 0.6917 [3 per cell]
Zn 0.5005 0.0010 0.1930 [3 per cell]
Zn 0.6667 0.3333 0.4433 [1 per cell]
Zn 0.6667 0.3333 0.9437 [1 per cell]

B) The following is a DFT calculation (PBE) of a relaxed structure of Ca3PmZn8.

Cell: 5.5608 5.5608 27.2657 Å, 90.00 90.00 120.00°
Space group R3m (No. 160, hexagonal axes)
Asymmetric unit:
Ca 0.0000 0.0000 0.0000 [3 per cell]
Ca 0.0000 0.0000 0.1252 [3 per cell]
Ca 0.0000 0.0000 0.6261 [3 per cell]
Pm 0.0000 0.0000 0.5011 [3 per cell]
Zn 0.0000 0.0000 0.3135 [3 per cell]
Zn 0.0000 0.0000 0.8133 [3 per cell]
Zn 0.0009 0.5005 0.0633 [9 per cell]
Zn 0.0013 0.5006 0.5628 [9 per cell]

Relative to the most stable one, in eV/atom, the structures come out at A) 0.000; B) 0.007.

A) The following is a DFT calculation (PBE) of a relaxed structure of CaPmZn4.

Cell: 7.850 7.850 7.850 Å, 90.00 90.00 90.00°
Space group F-43m (No. 216)
Asymmetric unit:
Ca 0.000 0.000 0.000 [4 per cell]
Pm 0.250 0.250 0.750 [4 per cell]
Zn 0.124 0.124 0.376 [16 per cell]

B) The following is a DFT calculation (PBE) of a relaxed structure of CaPmZn4.

Cell: 4.537 7.420 7.766 Å, 90.00 90.00 90.00°
Space group Immm (No. 71)
Asymmetric unit:
Ca 0.000 0.000 0.000 [2 per cell]
Pm 0.000 0.500 0.000 [2 per cell]
Zn 0.000 0.240 0.333 [8 per cell]

Relative to the most stable one, in eV/atom, the structures come out at A) 0.039; B) 0.000.